# 1
A geometry-optimized NdSmNO structure. Source: Alexandria via LeMat-Bulk, functional GGA-PBE.

The volume comes out at 16.174 Å³/atom. Its total magnetization is 0.00 μB/cell. The final energy is -7.861 eV per atom. For the raw formation energy, the calculation gives -8.67 eV per formula unit.

The space group is P4/mmm (No. 123) and the conventional cell measures 3.574, 3.574 and 5.063 Å, with angles of 90.00, 90.00 and 90.00 degrees. The inequivalent atoms are Nd at (0.000, 0.000, 0.000), Sm at (0.500, 0.500, 0.500), N at (0.000, 0.000, 0.500) and O at (0.500, 0.500, 0.000).

=====

# 2
A geometry-optimized NdTiNO2 structure. Source: Alexandria via LeMat-Bulk, functional GGA-PBE.

The volume comes out at 13.382 Å³/atom. Its total magnetization is 0.00 μB/cell. The final energy is -8.771 eV per atom. For the raw formation energy, the calculation gives -12.95 eV per formula unit.

The space group is P4mm (No. 99) and the conventional cell measures 3.738, 3.738 and 4.788 Å, with angles of 90.00, 90.00 and 90.00 degrees. The inequivalent atoms are Nd at (0.000, 0.000, 0.000), Ti at (0.500, 0.500, 0.456), N at (0.500, 0.500, 0.834) and O at (0.000, 0.500, 0.328).

=====

# 3
A geometry-optimized NdYNO structure. Source: Alexandria via LeMat-Bulk, functional GGA-PBE.

The volume comes out at 15.651 Å³/atom. Its total magnetization is 0.01 μB/cell. The final energy is -7.937 eV per atom. For the raw formation energy, the calculation gives -7.23 eV per formula unit.

The space group is Imm2 (No. 44) and the conventional cell measures 3.223, 3.234 and 12.014 Å, with angles of 90.00, 90.00 and 90.00 degrees. The inequivalent atoms are Nd at (0.000, 0.000, 0.000), Y at (0.000, 0.500, 0.257), N at (0.000, 0.500, 0.841) and O at (0.000, 0.000, 0.602).

=====

# 4
A geometry-optimized NdZnNO structure. Source: Alexandria via LeMat-Bulk, functional GGA-PBE.

The volume comes out at 15.062 Å³/atom. Its total magnetization is 0.00 μB/cell. The final energy is -6.340 eV per atom. For the raw formation energy, the calculation gives -6.03 eV per formula unit.

The space group is P6_3mc (No. 186) and the conventional cell measures 3.5969, 3.5969 and 10.7548 Å, with angles of 90.00, 90.00 and 120.00 degrees. The inequivalent atoms are Nd at (0.3333, 0.6667, 0.0000), Zn at (0.0000, 0.0000, 0.2856), N at (0.3333, 0.6667, 0.3621) and O at (0.0000, 0.0000, 0.1025).

=====

# 5
A geometry-optimized Nd2ZrN2O2 structure. Source: Alexandria via LeMat-Bulk, functional GGA-PBE.

The volume comes out at 15.705 Å³/atom. Its total magnetization is 0.00 μB/cell. The final energy is -8.543 eV per atom. For the raw formation energy, the calculation gives -15.15 eV per formula unit.

The space group is I4/mmm (No. 139) and the conventional cell measures 4.269, 4.269 and 12.064 Å, with angles of 90.00, 90.00 and 90.00 degrees. The inequivalent atoms are Nd at (0.000, 0.000, 0.133), Zr at (0.000, 0.000, 0.500), N at (0.000, 0.500, 0.000) and O at (0.000, 0.000, 0.318).

=====

# 6
A geometry-optimized Nd2OsN3 structure. Source: Alexandria via LeMat-Bulk, functional GGA-PBE.

The volume comes out at 14.872 Å³/atom. Its total magnetization is 0.00 μB/cell. The final energy is -8.524 eV per atom. For the raw formation energy, the calculation gives -5.40 eV per formula unit.

The space group is Immm (No. 71) and the conventional cell measures 3.603, 3.799 and 13.037 Å, with angles of 90.00, 90.00 and 90.00 degrees. The inequivalent atoms are Nd at (0.000, 0.000, 0.152), Os at (0.000, 0.000, 0.500), N at (0.000, 0.000, 0.337) and N at (0.000, 0.500, 0.500).

=====

# 7
A geometry-optimized Nd12Os3N5 structure. Source: Alexandria via LeMat-Bulk, functional GGA-PBE.

The volume comes out at 24.259 Å³/atom. Its total magnetization is 0.00 μB/cell. The final energy is -7.215 eV per atom. For the raw formation energy, the calculation gives -11.78 eV per formula unit.

The space group is Ia-3d (No. 230) and the conventional cell measures 15.716, 15.716 and 15.716 Å, with angles of 90.00, 90.00 and 90.00 degrees. The inequivalent atoms are Nd at (0.029, 0.056, 0.651), Os at (0.000, 0.250, 0.125), N at (0.000, 0.000, 0.000) and N at (0.000, 0.250, 0.375).

=====

# 8
A geometry-optimized Nd3Os5N12 structure. Source: Alexandria via LeMat-Bulk, functional GGA-PBE.

The volume comes out at 13.423 Å³/atom. Its total magnetization is 0.00 μB/cell. The final energy is -8.710 eV per atom. For the raw formation energy, the calculation gives -3.84 eV per formula unit.

The space group is Ia-3d (No. 230) and the conventional cell measures 12.902, 12.902 and 12.902 Å, with angles of 90.00, 90.00 and 90.00 degrees. The inequivalent atoms are Nd at (0.000, 0.250, 0.125), Os at (0.000, 0.000, 0.000), Os at (0.000, 0.250, 0.375) and N at (0.033, 0.043, 0.648).